DFT (PBE-GGA) results for a relaxed BeNiCl2 crystal.

- VASP energy: -14.17 eV for the cell shown
- Theoretical density: 3.3 g cm⁻³
- Spin magnetization: 0.0 μB/f.u.
- Formation energy from raw total energies: -0.97 eV/f.u.
- Polymorph energy (0 for the lowest one): 0.86 eV/f.u.

a b c (Å): 3.174 3.174 6.964
angles (deg): 90.00 90.00 90.00
Fractional positions:
Ni 0.000 0.000 0.574
Be 0.500 0.500 0.672
Cl 0.000 0.000 0.878
Cl 0.500 0.500 0.376